[1]
NdEr2Re: optimized geometry, PBE-GGA.

Cell: 11.527 11.527 11.527 Å, 16.15 16.15 16.15°
Positions (direct):
Nd 0.000 0.000 0.000
Er 0.422 0.422 0.422
Er 0.578 0.578 0.578
Re 0.500 0.500 0.500

Results
ΔE_f = 791 meV per atom
total magnetization = 0.4 μB per cell

---

[2]
AcPm3Tm: optimized geometry, PBE-GGA.

Cell: 3.753 8.840 11.346 Å, 74.55 80.49 90.00°
Positions (direct):
Ac 0.113 0.016 0.275
Ac 0.887 0.984 0.725
Pm 0.283 0.189 0.933
Pm 0.316 0.612 0.868
Pm 0.480 0.756 0.538
Pm 0.520 0.244 0.462
Pm 0.684 0.388 0.132
Pm 0.717 0.811 0.067
Tm 0.083 0.584 0.333
Tm 0.917 0.416 0.667

Results
E above lowest polymorph = 0 meV per atom
ΔE_f = 45 meV per atom
total magnetization = 0.0 μB per cell

---

| no. | total energy (Ry/atom) |
| --- | --- |
| 1 | -0.4259 |
| 2 | -0.3323 |